(1)
Here is crystalline YTaInH2 at its relaxed geometry from the Alexandria database. Energies are from PBE.

Its calculated total energy is -0.185 Ha/atom.

The space group is P4/mmm (No. 123) and the conventional cell measures 3.988, 3.988 and 6.327 Å, with angles of 90.00, 90.00 and 90.00 degrees. The asymmetric unit holds Y at (0.000, 0.000, 0.000), Ta at (0.500, 0.500, 0.500), In at (0.000, 0.000, 0.500) and H at (0.000, 0.500, 0.000).

(2)
Here is crystalline CaPtW at its relaxed geometry from the Alexandria database. Energies are from PBE.

The formation energy comes out at -0.07 eV/atom.

The space group is P-1 (No. 2) and the conventional cell measures 2.860, 4.823 and 8.380 Å, with angles of 99.10, 90.71 and 90.06 degrees. The asymmetric unit holds Ca at (0.196, 0.155, 0.205), Pt at (0.266, 0.365, 0.859) and W at (0.330, 0.731, 0.438).

(3)
Here is crystalline Hf2ScRu at its relaxed geometry from the Alexandria database. Energies are from PBE.

As for the distance to the lowest polymorph of the same formula: 105 meV/atom. The formation energy comes out at -0.16 eV/atom.

The space group is Fm-3m (No. 225) and the conventional cell measures 6.730, 6.730 and 6.730 Å, with angles of 90.00, 90.00 and 90.00 degrees. The asymmetric unit holds Hf at (0.250, 0.250, 0.250), Sc at (0.000, 0.000, 0.000) and Ru at (0.000, 0.000, 0.500).

(4)
Here is crystalline BaSnP2Cl at its relaxed geometry from the Alexandria database. Energies are from PBE.

As for the distance to the lowest polymorph of the same formula: 0 meV/atom. As for the formation energy without anion corrections: -0.451 eV/atom.

The space group is P4/mmm (No. 123) and the conventional cell measures 5.066, 5.066 and 5.589 Å, with angles of 90.00, 90.00 and 90.00 degrees. The asymmetric unit holds Ba at (0.000, 0.000, 0.000), Sn at (0.500, 0.500, 0.500), P at (0.000, 0.500, 0.500) and Cl at (0.500, 0.500, 0.000).

(5)
Here is crystalline LaLuCoRh at its relaxed geometry from the Alexandria database. Energies are from PBE.

The formation energy comes out at -0.41 eV/atom.

The space group is F-43m (No. 216) and the conventional cell measures 6.884, 6.884 and 6.884 Å, with angles of 90.00, 90.00 and 90.00 degrees. The asymmetric unit holds La at (0.000, 0.000, 0.000), Lu at (0.000, 0.000, 0.500), Co at (0.250, 0.250, 0.250) and Rh at (0.250, 0.250, 0.750).

(6)
Here is crystalline SmThSi2 at its relaxed geometry from the Alexandria database. Energies are from PBE.

As for the distance to the lowest polymorph of the same formula: 12 meV/atom. As for the formation energy without anion corrections: -0.721 eV/atom.

The space group is Pm (No. 6) and the conventional cell measures 4.396, 3.987 and 5.858 Å, with angles of 90.00, 112.11 and 90.00 degrees. The asymmetric unit holds Sm at (0.000, 0.000, 0.000), Th at (0.281, 0.500, 0.559), Si at (0.567, 0.500, 0.132) and Si at (0.715, 0.000, 0.428).

(7)
Here is crystalline TaMnRh2 at its relaxed geometry from the Alexandria database. Energies are from PBE.

The formation energy comes out at -0.36 eV/atom.

The space group is I-4m2 (No. 119) and the conventional cell measures 3.816, 3.816 and 8.143 Å, with angles of 90.00, 90.00 and 90.00 degrees. The asymmetric unit holds Ta at (0.000, 0.000, 0.000), Mn at (0.000, 0.500, 0.250), Rh at (0.000, 0.000, 0.500) and Rh at (0.000, 0.500, 0.750).

(8)
Here is crystalline PrZn2Cd2Pt at its relaxed geometry from the Alexandria database. Energies are from PBE.

The formation energy comes out at 0.03 eV/atom.

The space group is I4/mmm (No. 139) and the conventional cell measures 5.051, 5.051 and 11.258 Å, with angles of 90.00, 90.00 and 90.00 degrees. The asymmetric unit holds Pr at (0.000, 0.000, 0.000), Zn at (0.000, 0.000, 0.284), Cd at (0.000, 0.500, 0.250) and Pt at (0.000, 0.000, 0.500).

(9)
Here is crystalline BaTaW2 at its relaxed geometry from the Alexandria database. Energies are from PBE.

As for the distance to the lowest polymorph of the same formula: 643 meV/atom. The formation energy comes out at 1.40 eV/atom.

The space group is Immm (No. 71) and the conventional cell measures 3.149, 5.276 and 9.962 Å, with angles of 90.00, 90.00 and 90.00 degrees. The asymmetric unit holds Ba at (0.000, 0.000, 0.000), Ta at (0.000, 0.000, 0.500) and W at (0.000, 0.500, 0.231).

(10)
Here is crystalline PrSm2Se at its relaxed geometry from the Alexandria database. Energies are from PBE.

As for the distance to the lowest polymorph of the same formula: 209 meV/atom. As for the formation energy without anion corrections: -0.605 eV/atom.

The space group is R-3m (No. 166, hexagonal axes) and the conventional cell measures 3.8273, 3.8273 and 31.6778 Å, with angles of 90.00, 90.00 and 120.00 degrees. The asymmetric unit holds Pr at (0.0000, 0.0000, 0.0000), Sm at (0.0000, 0.0000, 0.1093) and Se at (0.0000, 0.0000, 0.5000).

Table of magnetization (μB per cell), in record order: 1.1, 0.0, 0.0, 0.3, 2.5, 0.0, 6.6, 0.0, 0.0, 2.2